Compound: GdSeClO3
Source: the Alexandria database
Functional: PBEsol
Structure: optimized geometry

Cell lengths 7.1809, 7.0245, 8.8742 Å; angles 90.00, 90.00, 90.00 degrees
Sites, in units of the cell vectors:
Gd  0.1060  0.2500  0.0408
Gd  0.3940  0.7500  0.5408
Gd  0.6060  0.2500  0.4592
Gd  0.8940  0.7500  0.9592
Se  0.2047  0.2500  0.6321
Se  0.2953  0.7500  0.1321
Se  0.7047  0.2500  0.8679
Se  0.7953  0.7500  0.3679
Cl  0.0506  0.7500  0.6779
Cl  0.4494  0.2500  0.1779
Cl  0.5506  0.7500  0.8221
Cl  0.9494  0.2500  0.3221
O  0.1456  0.5731  0.0666
O  0.1456  0.9269  0.0666
O  0.2487  0.7500  0.3190
O  0.2513  0.2500  0.8190
O  0.3544  0.0731  0.5666
O  0.3544  0.4269  0.5666
O  0.6456  0.5731  0.4334
O  0.6456  0.9269  0.4334
O  0.7487  0.7500  0.1810
O  0.7513  0.2500  0.6810
O  0.8544  0.0731  0.9334
O  0.8544  0.4269  0.9334

## Properties
The formation energy from raw total energies comes out at -12.0 eV per formula unit. The magnetic moment comes out at 27.87 Bohr magnetons per cell. Its space group is No. 62. The crystal system is orthorhombic.